A plane-wave DFT calculation with PBE was carried out for a relaxed structure of CaAcGe.

## Properties
- ΔH_f (0 K) (eV per atom) = -0.381
- N(E_F) (states/eV per atom) = 0.62
- crystal system = orthorhombic
- offset from the most stable computed form (eV per atom) = 0.174
- magnetization (μB per formula unit) = 0.000

Cell: 7.0916 4.1489 14.7673 Å, 90.00 90.00 90.00°
With the nearest neighbours (Å) after each atom.
Space group Pnma (No. 62)
Inequivalent atoms, fractional coordinates:
Ca 0.2096 0.2500 0.0358 [4 per cell]  3 Ge 3.05-3.15
Ac 0.1790 0.2500 0.3032 [4 per cell]  4 Ge 3.18-3.30
Ge 0.0055 0.7500 0.1507 [4 per cell]  3 Ca 3.05-3.15, 4 Ac 3.18-3.30

---

A plane-wave DFT calculation with PBE was carried out for a relaxed structure of Ca2ErAl2Pd5.

## Properties
- ΔH_f (0 K) (eV per atom) = -0.804
- N(E_F) (states/eV per atom) = 0.42
- crystal system = tetragonal
- magnetization (μB per formula unit) = 0.000

Cell: 10.1064 10.1064 3.7649 Å, 90.00 90.00 90.00°
With the nearest neighbours (Å) after each atom.
Space group P4/mbm (No. 127)
Inequivalent atoms, fractional coordinates:
Ca 0.1765 0.3235 0.0000 [4 per cell]  3 Al 2.92-3.04, 6 Pd 3.15-3.22
Er 0.0000 0.0000 0.0000 [2 per cell]  8 Pd 2.96
Al 0.1190 0.6190 0.0000 [4 per cell]  6 Pd 2.54-2.57
Pd 0.0000 0.5000 0.5000 [2 per cell]  4 Al 2.54
Pd 0.0687 0.7841 0.5000 [8 per cell]  2 Al 2.57

---

A plane-wave DFT calculation with PBE was carried out for a relaxed structure of Pu2CdIn9.

## Properties
- ΔH_f (0 K) (eV per atom) = -0.114
- N(E_F) (states/eV per atom) = 2.12
- crystal system = tetragonal
- magnetization (μB per formula unit) = 11.734

Cell: 4.6558 4.6558 14.1079 Å, 90.00 90.00 90.00°
With the nearest neighbours (Å) after each atom.
Space group P4/mmm (No. 123)
Inequivalent atoms, fractional coordinates:
Pu 0.0000 0.0000 0.1672 [2 per cell]  12 In 3.29-3.31
Cd 0.0000 0.0000 0.5000 [1 per cell]  12 In 3.29-3.31
In 0.0000 0.5000 0.0000 [2 per cell]  8 In 3.24-3.29, 4 Pu 3.31
In 0.0000 0.5000 0.3337 [4 per cell]  8 In 3.29-3.38, 2 Cd 3.31, 2 Pu 3.31
In 0.5000 0.5000 0.1600 [2 per cell]  8 In 3.24-3.38, 4 Pu 3.29
In 0.5000 0.5000 0.5000 [1 per cell]  4 Cd 3.29, 8 In 3.31

---

A plane-wave DFT calculation with PBE was carried out for a relaxed structure of Na2TiBr6.

## Properties
- formation energy without anion corrections (eV/atom) = -1.29
- crystal system = tetragonal
- offset from the most stable computed form (eV per atom) = 0.024
- magnetization (μB per formula unit) = 0.000

Cell: 6.7345 6.7345 12.5526 Å, 90.00 90.00 90.00°
With the nearest neighbours (Å) after each atom.
Space group P4_2/mnm (No. 136)
Inequivalent atoms, fractional coordinates:
Na 0.0000 0.0000 0.1658 [4 per cell]  6 Br 2.97-3.04
Ti 0.0000 0.0000 0.5000 [2 per cell]  6 Br 2.53-2.55
Br 0.1856 0.1856 0.3561 [8 per cell]  1 Ti 2.53
Br 0.2326 0.2326 0.0000 [4 per cell]  1 Ti 2.55

---

A plane-wave DFT calculation with PBE was carried out for a relaxed structure of LiMnW2.

## Properties
- ΔH_f (0 K) (eV per atom) = 0.468
- N(E_F) (states/eV per atom) = 0.80
- crystal system = tetragonal
- offset from the most stable computed form (eV per atom) = 0.135
- magnetization (μB per formula unit) = 3.009

Cell: 2.6721 2.6721 8.6294 Å, 90.00 90.00 90.00°
With the nearest neighbours (Å) after each atom.
Space group P4mm (No. 99)
Inequivalent atoms, fractional coordinates:
Li 0.0000 0.0000 0.0000 [1 per cell]  4 Li 2.67, 4 Mn 2.85, 4 W 2.93
Mn 0.5000 0.5000 0.2467 [1 per cell]  4 Mn 2.67, 4 W 2.72, 4 Li 2.85
W 0.0000 0.0000 0.4737 [1 per cell]  8 W 2.67-2.97, 4 Mn 2.72
W 0.5000 0.5000 0.7397 [1 per cell]  8 W 2.67-2.97, 4 Li 2.93

---

A plane-wave DFT calculation with PBE was carried out for a relaxed structure of RbCaFe3.

## Properties
- ΔH_f (0 K) (eV per atom) = 2.140
- N(E_F) (states/eV per atom) = 1.68
- crystal system = cubic
- offset from the most stable computed form (eV per atom) = 0.348
- magnetization (μB per formula unit) = 8.336

Cell: 5.0025 5.0025 5.0025 Å, 90.00 90.00 90.00°
With the nearest neighbours (Å) after each atom.
Space group Pm-3m (No. 221)
Inequivalent atoms, fractional coordinates:
Rb 0.0000 0.0000 0.0000 [1 per cell]  6 Fe 2.50
Ca 0.5000 0.5000 0.5000 [1 per cell]  12 Fe 3.54
Fe 0.0000 0.0000 0.5000 [3 per cell]  2 Rb 2.50

---

Quick rundown of density, same order as above: 5.19, 7.20, 8.87, 3.34, 11.58, 3.89 g/cm³